Entry 1:
A relaxed Y2NO crystal. Source: the Alexandria database, functional PBE.

Properties
- M_tot (μB per formula unit) = 0.00
- final energy (eV/atom) = -8.894
- energy relative to the elements, uncorrected (kcal/mol of atoms) = -53.978

```
data_Y2NO
_symmetry_space_group_name_H-M 'R -3 m'
_symmetry_Int_Tables_number 166
_symmetry_space_group_name_Hall '-R 3 2"'
_cell_length_a 3.4389
_cell_length_b 3.4389
_cell_length_c 16.9931
_cell_angle_alpha 90.00
_cell_angle_beta 90.00
_cell_angle_gamma 120.00
loop_
_atom_site_label
_atom_site_fract_x
_atom_site_fract_y
_atom_site_fract_z
_atom_site_occupancy
Y1 0.0000 0.0000 0.2464 1
N1 0.0000 0.0000 0.5000 1
O1 0.0000 0.0000 0.0000 1
```



Entry 2:
A relaxed Na3CdC2O6 crystal. Source: the Alexandria database, functional PBE.

Properties
- M_tot (μB per formula unit) = 0.00
- final energy (eV/atom) = -5.863
- energy relative to the elements, uncorrected (kcal/mol of atoms) = -33.217

```
data_Na3CdC2O6
_symmetry_space_group_name_H-M 'P -3 m 1'
_symmetry_Int_Tables_number 164
_symmetry_space_group_name_Hall '-P 3 2"'
_cell_length_a 5.2459
_cell_length_b 5.2459
_cell_length_c 7.0115
_cell_angle_alpha 90.00
_cell_angle_beta 90.00
_cell_angle_gamma 120.00
loop_
_atom_site_label
_atom_site_fract_x
_atom_site_fract_y
_atom_site_fract_z
_atom_site_occupancy
Na1 0.0000 0.0000 0.0000 1
Na2 0.3333 0.6667 0.7738 1
Cd1 0.0000 0.0000 0.5000 1
C1 0.3333 0.6667 0.2251 1
O1 0.1900 0.3799 0.2252 1
```



Entry 3:
A relaxed DyAlGaPd3 crystal. Source: the Alexandria database, functional PBE.

Properties
- M_tot (μB per formula unit) = 0.00
- final energy (eV/atom) = -5.146
- formation energy (eV/atom) = -0.6546

```
data_DyAlGaPd3
_symmetry_space_group_name_H-M 'C m c m'
_symmetry_Int_Tables_number 63
_symmetry_space_group_name_Hall '-C 2c 2'
_cell_length_a 6.608
_cell_length_b 12.209
_cell_length_c 5.604
_cell_angle_alpha 90.00
_cell_angle_beta 90.00
_cell_angle_gamma 90.00
loop_
_atom_site_label
_atom_site_fract_x
_atom_site_fract_y
_atom_site_fract_z
_atom_site_occupancy
Dy1 0.000 0.200 0.250 1
Al1 0.000 0.448 0.250 1
Ga1 0.000 0.137 0.750 1
Pd1 0.000 0.341 0.750 1
Pd2 0.207 0.000 0.000 1
```



Entry 4:
A relaxed CuH2Ru crystal. Source: the Alexandria database, functional PBE.

Properties
- M_tot (μB per formula unit) = 0.00
- final energy (eV/atom) = -4.828

```
data_CuH2Ru
_symmetry_space_group_name_H-M 'R 3 m'
_symmetry_Int_Tables_number 160
_symmetry_space_group_name_Hall 'R 3 -2"'
_cell_length_a 2.7877
_cell_length_b 2.7877
_cell_length_c 14.8058
_cell_angle_alpha 90.00
_cell_angle_beta 90.00
_cell_angle_gamma 120.00
loop_
_atom_site_label
_atom_site_fract_x
_atom_site_fract_y
_atom_site_fract_z
_atom_site_occupancy
Cu1 0.0000 0.0000 0.0000 1
H1 0.0000 0.0000 0.5782 1
H2 0.0000 0.0000 0.7794 1
Ru1 0.0000 0.0000 0.1788 1
```



Entry 5:
A relaxed PrHo3Pt2 crystal. Source: the Alexandria database, functional PBE.

Properties
- M_tot (μB per formula unit) = 0.00
- final energy (eV/atom) = -6.026
- formation energy (eV/atom) = -0.9273

```
data_PrHo3Pt2
_symmetry_space_group_name_H-M 'P m c 21'
_symmetry_Int_Tables_number 26
_cell_length_a 4.794
_cell_length_b 8.874
_cell_length_c 7.202
_cell_angle_alpha 90.00
_cell_angle_beta 90.00
_cell_angle_gamma 90.00
loop_
_symmetry_equiv_pos_as_xyz
'x,y,z'
'-x,-y,z+1/2'
'-x,y,z'
'x,-y,z+1/2'
loop_
_atom_site_label
_atom_site_fract_x
_atom_site_fract_y
_atom_site_fract_z
_atom_site_occupancy
Pr1 0.000 0.080 0.000 1
Ho1 0.000 0.336 0.636 1
Ho2 0.500 0.176 0.349 1
Ho3 0.500 0.421 0.981 1
Pt1 0.000 0.347 0.239 1
Pt2 0.500 0.166 0.743 1
```



Entry 6:
A relaxed H8ICl2 crystal. Source: the Alexandria database, functional PBE.

Properties
- M_tot (μB per formula unit) = 0.00
- final energy (eV/atom) = -3.069

```
data_H8ICl2
_symmetry_space_group_name_H-M 'P -1'
_symmetry_Int_Tables_number 2
_cell_length_a 3.168
_cell_length_b 7.428
_cell_length_c 10.830
_cell_angle_alpha 88.07
_cell_angle_beta 85.95
_cell_angle_gamma 85.33
loop_
_symmetry_equiv_pos_as_xyz
'x,y,z'
'-x,-y,-z'
loop_
_atom_site_label
_atom_site_fract_x
_atom_site_fract_y
_atom_site_fract_z
_atom_site_occupancy
H1 0.085 0.462 0.496 1
H2 0.149 0.408 0.149 1
H3 0.183 0.787 0.154 1
H4 0.293 0.775 0.214 1
I1 0.500 0.000 0.500 1
Cl1 0.170 0.690 0.857 1
```



Entry 7:
A relaxed LaPm3Cu crystal. Source: the Alexandria database, functional PBE.

Properties
- M_tot (μB per formula unit) = 0.00
- final energy (eV/atom) = -4.554
- formation energy (eV/atom) = 0.1008

```
data_LaPm3Cu
_symmetry_space_group_name_H-M 'P m -3 m'
_symmetry_Int_Tables_number 221
_symmetry_space_group_name_Hall '-P 4 2 3'
_cell_length_a 5.554
_cell_length_b 5.554
_cell_length_c 5.554
_cell_angle_alpha 90.00
_cell_angle_beta 90.00
_cell_angle_gamma 90.00
loop_
_atom_site_label
_atom_site_fract_x
_atom_site_fract_y
_atom_site_fract_z
_atom_site_occupancy
La1 0.000 0.000 0.000 1
Pm1 0.000 0.500 0.500 1
Cu1 0.500 0.500 0.500 1
```



Entry 8:
A relaxed ScTa2Te crystal. Source: the Alexandria database, functional PBE.

Properties
- M_tot (μB per formula unit) = 0.00
- final energy (eV/atom) = -8.278
- energy relative to the elements, uncorrected (kcal/mol of atoms) = 0.384

```
data_ScTa2Te
_symmetry_space_group_name_H-M 'I m m 2'
_symmetry_Int_Tables_number 44
_cell_length_a 3.693
_cell_length_b 4.765
_cell_length_c 9.079
_cell_angle_alpha 90.00
_cell_angle_beta 90.00
_cell_angle_gamma 90.00
loop_
_symmetry_equiv_pos_as_xyz
'x,y,z'
'-x,-y,z'
'-x,y,z'
'x,-y,z'
'x+1/2,y+1/2,z+1/2'
'-x+1/2,-y+1/2,z+1/2'
'-x+1/2,y+1/2,z+1/2'
'x+1/2,-y+1/2,z+1/2'
loop_
_atom_site_label
_atom_site_fract_x
_atom_site_fract_y
_atom_site_fract_z
_atom_site_occupancy
Sc1 0.000 0.000 0.000 1
Ta1 0.000 0.000 0.481 1
Ta2 0.000 0.500 0.752 1
Te1 0.000 0.500 0.237 1
```



Entry 9:
A relaxed Pr3Ag2Hg crystal. Source: the Alexandria database, functional PBE.

Properties
- M_tot (μB per formula unit) = 0.49
- final energy (eV/atom) = -3.715
- formation energy (eV/atom) = -0.3245

```
data_Pr3Ag2Hg
_symmetry_space_group_name_H-M 'C m m m'
_symmetry_Int_Tables_number 65
_symmetry_space_group_name_Hall '-C 2 2'
_cell_length_a 5.372
_cell_length_b 16.098
_cell_length_c 3.838
_cell_angle_alpha 90.00
_cell_angle_beta 90.00
_cell_angle_gamma 90.00
loop_
_atom_site_label
_atom_site_fract_x
_atom_site_fract_y
_atom_site_fract_z
_atom_site_occupancy
Pr1 0.000 0.000 0.000 1
Pr2 0.000 0.331 0.000 1
Ag1 0.000 0.165 0.500 1
Hg1 0.000 0.500 0.500 1
```



Entry 10:
A relaxed NaZr2UO8 crystal. Source: the Alexandria database, functional PBE.

Properties
- M_tot (μB per formula unit) = 0.68
- final energy (eV/atom) = -8.589
- energy relative to the elements, uncorrected (kcal/mol of atoms) = -64.771

```
data_NaZr2UO8
_symmetry_space_group_name_H-M 'C m m m'
_symmetry_Int_Tables_number 65
_symmetry_space_group_name_Hall '-C 2 2'
_cell_length_a 7.077
_cell_length_b 7.217
_cell_length_c 6.682
_cell_angle_alpha 90.00
_cell_angle_beta 90.00
_cell_angle_gamma 90.00
loop_
_atom_site_label
_atom_site_fract_x
_atom_site_fract_y
_atom_site_fract_z
_atom_site_occupancy
Na1 0.000 0.000 0.000 1
Zr1 0.000 0.500 0.234 1
U1 0.000 0.000 0.500 1
O1 0.000 0.303 0.500 1
O2 0.000 0.320 0.000 1
O3 0.203 0.000 0.285 1
```



Entry 11:
A relaxed CdRuSeN2 crystal. Source: the Alexandria database, functional PBE.

Properties
- M_tot (μB per formula unit) = 6.42
- final energy (eV/atom) = -3.863
- energy relative to the elements, uncorrected (kcal/mol of atoms) = 50.791

```
data_CdRuSeN2
_symmetry_space_group_name_H-M 'P 4/m m m'
_symmetry_Int_Tables_number 123
_symmetry_space_group_name_Hall '-P 4 2'
_cell_length_a 4.062
_cell_length_b 4.062
_cell_length_c 5.809
_cell_angle_alpha 90.00
_cell_angle_beta 90.00
_cell_angle_gamma 90.00
loop_
_atom_site_label
_atom_site_fract_x
_atom_site_fract_y
_atom_site_fract_z
_atom_site_occupancy
Cd1 0.000 0.000 0.000 1
Ru1 0.500 0.500 0.500 1
Se1 0.000 0.000 0.500 1
N1 0.000 0.500 0.000 1
```



Entry 12:
A relaxed LuSc3Co crystal. Source: the Alexandria database, functional PBE.

Properties
- M_tot (μB per formula unit) = 0.00
- final energy (eV/atom) = -6.189
- formation energy (eV/atom) = -0.0647

```
data_LuSc3Co
_symmetry_space_group_name_H-M 'P m -3 m'
_symmetry_Int_Tables_number 221
_symmetry_space_group_name_Hall '-P 4 2 3'
_cell_length_a 4.912
_cell_length_b 4.912
_cell_length_c 4.912
_cell_angle_alpha 90.00
_cell_angle_beta 90.00
_cell_angle_gamma 90.00
loop_
_atom_site_label
_atom_site_fract_x
_atom_site_fract_y
_atom_site_fract_z
_atom_site_occupancy
Lu1 0.000 0.000 0.000 1
Sc1 0.000 0.500 0.500 1
Co1 0.500 0.500 0.500 1
```